Record 1
Below is crystalline Hf3Zn7Ag at its relaxed geometry, with properties calculated at the PBE level.

Lattice parameters (Å, degrees): 3.076 9.888 12.842 90.00 90.00 98.95
Positions (direct):
Hf 0.119 0.238 0.447
Hf 0.881 0.762 0.553
Hf 0.268 0.535 0.750
Hf 0.732 0.465 0.250
Hf 0.119 0.238 0.053
Hf 0.881 0.762 0.947
Zn 0.411 0.821 0.750
Zn 0.589 0.179 0.250
Zn 0.495 0.990 0.409
Zn 0.505 0.010 0.591
Zn 0.505 0.010 0.909
Zn 0.495 0.990 0.091
Zn 0.371 0.742 0.349
Zn 0.629 0.258 0.651
Zn 0.262 0.524 0.428
Zn 0.738 0.476 0.572
Zn 0.738 0.476 0.928
Zn 0.262 0.524 0.072
Zn 0.371 0.742 0.151
Zn 0.629 0.258 0.849
Ag 0.966 0.933 0.250
Ag 0.034 0.067 0.750

The density of states at the Fermi level comes out at 0.663 states/eV/atom. The density is 9.48 g cm⁻³. As for the crystal system: orthorhombic.



Record 2
Below is crystalline HfZnAg at its relaxed geometry, with properties calculated at the PBE level.

Lattice parameters (Å, degrees): 3.164 3.163 10.931 90.00 90.00 90.00
Positions (direct):
Hf 0.872 0.291 0.158
Hf 0.372 0.791 0.354
Zn 0.872 0.291 0.529
Zn 0.372 0.791 0.984
Ag 0.873 0.291 0.843
Ag 0.372 0.791 0.670

The density of states at the Fermi level comes out at 0.374 states/eV/atom. The density is 10.68 g cm⁻³. As for the crystal system: tetragonal.



| no. | ΔH_f (0 K) (meV/atom) |
| --- | --- |
| 1 | -9 |
| 2 | -99 |